Entry 1:
# Sr2Sn3Pt4Rh (PBE-GGA, relaxed)
# Calculated formation energy: -0.654 eV/atom
# Volume: 225 Å³ per cell
# Final energy: -5.3427 eV per atom
# Density: 10.5 g/cm³
# Space-group type: P-4m2
# Density of states at the Fermi level: 0.81 states/eV per atom
data_Sr2Sn3Pt4Rh
_chemical_formula_sum 'Sr2 Sn3 Pt4 Rh1'
_symmetry_space_group_name_H-M 'P 1'
_symmetry_Int_Tables_number 1
_symmetry_space_group_name_Hall 'P 1'
_cell_length_a 4.447
_cell_length_b 4.447
_cell_length_c 11.366
_cell_angle_alpha 90.00
_cell_angle_beta 90.00
_cell_angle_gamma 90.00
loop_
_atom_site_label
_atom_site_fract_x
_atom_site_fract_y
_atom_site_fract_z
Sr1 0.000 0.500 0.240
Sr2 0.500 0.000 0.760
Sn1 0.000 0.000 0.000
Sn2 0.000 0.500 0.633
Sn3 0.500 0.000 0.367
Pt1 0.000 0.000 0.500
Pt2 0.000 0.500 0.864
Pt3 0.500 0.000 0.136
Pt4 0.500 0.500 0.500
Rh1 0.500 0.500 0.000


Entry 2:
# Sr2Sn3PtRh4 (PBE-GGA, relaxed)
# Calculated formation energy: -0.570 eV/atom
# Volume: 219 Å³ per cell
# Final energy: -5.6516 eV per atom
# Density: 8.6 g/cm³
# Space-group type: P-4m2
# Density of states at the Fermi level: 0.45 states/eV per atom
data_Sr2Sn3PtRh4
_chemical_formula_sum 'Sr2 Sn3 Pt1 Rh4'
_symmetry_space_group_name_H-M 'P 1'
_symmetry_Int_Tables_number 1
_symmetry_space_group_name_Hall 'P 1'
_cell_length_a 4.475
_cell_length_b 4.475
_cell_length_c 10.948
_cell_angle_alpha 90.00
_cell_angle_beta 90.00
_cell_angle_gamma 90.00
loop_
_atom_site_label
_atom_site_fract_x
_atom_site_fract_y
_atom_site_fract_z
Sr1 0.000 0.500 0.246
Sr2 0.500 0.000 0.754
Sn1 0.000 0.000 0.000
Sn2 0.000 0.500 0.628
Sn3 0.500 0.000 0.372
Pt1 0.500 0.500 0.000
Rh1 0.000 0.000 0.500
Rh2 0.000 0.500 0.869
Rh3 0.500 0.000 0.131
Rh4 0.500 0.500 0.500


Entry 3:
# Sr2Sn4Pt3Rh (PBE-GGA, relaxed)
# Calculated formation energy: -0.764 eV/atom
# Volume: 234 Å³ per cell
# Final energy: -5.2485 eV per atom
# Density: 9.5 g/cm³
# Space-group type: P-4m2
# Density of states at the Fermi level: 0.67 states/eV per atom
data_Sr2Sn4Pt3Rh
_chemical_formula_sum 'Sr2 Sn4 Pt3 Rh1'
_symmetry_space_group_name_H-M 'P 1'
_symmetry_Int_Tables_number 1
_symmetry_space_group_name_Hall 'P 1'
_cell_length_a 4.589
_cell_length_b 4.589
_cell_length_c 11.093
_cell_angle_alpha 90.00
_cell_angle_beta 90.00
_cell_angle_gamma 90.00
loop_
_atom_site_label
_atom_site_fract_x
_atom_site_fract_y
_atom_site_fract_z
Sr1 0.000 0.500 0.246
Sr2 0.500 0.000 0.754
Sn1 0.000 0.000 0.500
Sn2 0.000 0.500 0.875
Sn3 0.500 0.000 0.125
Sn4 0.500 0.500 0.500
Pt1 0.000 0.000 0.000
Pt2 0.000 0.500 0.634
Pt3 0.500 0.000 0.366
Rh1 0.500 0.500 0.000


Entry 4:
# Tc2SnPtRh (PBE-GGA, relaxed)
# Calculated formation energy: 1.463 eV/atom
# Volume: 110 Å³ per cell
# Final energy: -6.1627 eV per atom
# Density: 9.2 g/cm³
# Space-group type: P4/mmm
# Density of states at the Fermi level: 1.37 states/eV per atom
# Distance to the lowest polymorph of the same formula: 0.0000 eV/atom
data_Tc2SnPtRh
_chemical_formula_sum 'Tc2 Sn1 Pt1 Rh1'
_symmetry_space_group_name_H-M 'P 1'
_symmetry_Int_Tables_number 1
_symmetry_space_group_name_Hall 'P 1'
_cell_length_a 4.726
_cell_length_b 4.726
_cell_length_c 4.928
_cell_angle_alpha 90.00
_cell_angle_beta 90.00
_cell_angle_gamma 90.00
loop_
_atom_site_label
_atom_site_fract_x
_atom_site_fract_y
_atom_site_fract_z
Tc1 0.000 0.500 0.000
Tc2 0.500 0.000 0.000
Sn1 0.000 0.000 0.500
Pt1 0.500 0.500 0.000
Rh1 0.500 0.500 0.500


The highest calculated formation energy belongs to which entry? Tc2SnPtRh


Which value of density does entry 2 give? 8.6 g/cm³


calculated formation energy of number 2 (Sr2Sn3PtRh4)? -0.570 eV/atom


Which of these has the lowest volume? Tc2SnPtRh